No. 1
Computed, not measured: Ce3Al2Tc4 after structural relaxation at the GGA-PBE level of DFT.

a = 5.2130 Å, b = 5.2130 Å, c = 9.0139 Å
α = 93.57°, β = 93.57°, γ = 51.09°
Fractional coordinates of all 9 atoms:
Ce (0.0000, 0.0000, 0.0000)
Ce (0.3554, 0.3554, 0.6051)
Ce (0.6446, 0.6446, 0.3949)
Al (0.3354, 0.3354, 0.2184)
Al (0.6646, 0.6646, 0.7816)
Tc (0.1090, 0.1090, 0.6392)
Tc (0.2474, 0.2474, 0.9266)
Tc (0.7526, 0.7526, 0.0734)
Tc (0.8910, 0.8910, 0.3608)

Output
formation enthalpy at 0 K: -205 meV/atom
volume: 21.1 Å³/atom
ρ: 7.565 g/cm³
E_tot: -7.621 eV/atom
space group: C2/m (12)
density of states at the Fermi level: 10.581 states/eV/cell
magnetization: 0.0 μB per cell

***

No. 2
Computed, not measured: UTcRu after structural relaxation at the GGA-PBE level of DFT.

a = 4.5051 Å, b = 4.5051 Å, c = 5.8452 Å
α = 90.00°, β = 90.00°, γ = 120.00°
Fractional coordinates of all 6 atoms:
U (0.3333, 0.6667, 0.2500)
U (0.6667, 0.3333, 0.7500)
Tc (0.0000, 0.0000, 0.0000)
Tc (0.0000, 0.0000, 0.5000)
Ru (0.3333, 0.6667, 0.7500)
Ru (0.6667, 0.3333, 0.2500)

Output
formation enthalpy at 0 K: -172 meV/atom
volume: 17.1 Å³/atom
ρ: 14.128 g/cm³
E_tot: -10.482 eV/atom
space group: P6_3/mmc (194)
density of states at the Fermi level: 5.815 states/eV/cell
magnetization: 0.0 μB per cell

***

No. 3
Computed, not measured: Er8Ge5P after structural relaxation at the GGA-PBE level of DFT.

a = 7.5306 Å, b = 7.5306 Å, c = 7.5306 Å
α = 109.62°, β = 109.62°, γ = 109.17°
Fractional coordinates of all 14 atoms:
Er (0.1186, 0.2415, 0.7459)
Er (0.1268, 0.7416, 0.7512)
Er (0.2584, 0.0095, 0.3852)
Er (0.4956, 0.3726, 0.2541)
Er (0.6243, 0.8732, 0.6148)
Er (0.6274, 0.8814, 0.1230)
Er (0.7585, 0.5044, 0.8770)
Er (0.9905, 0.3757, 0.2488)
Ge (0.0000, 0.0000, 0.0000)
Ge (0.2509, 0.6253, 0.1251)
Ge (0.3747, 0.4998, 0.6256)
Ge (0.5002, 0.1258, 0.8749)
Ge (0.8742, 0.7491, 0.3744)
P (0.7500, 0.2500, 0.5000)

Output
formation enthalpy at 0 K: -924 meV/atom
volume: 23.5 Å³/atom
ρ: 8.750 g/cm³
E_tot: -5.566 eV/atom
space group: I-4 (82)
density of states at the Fermi level: 7.536 states/eV/cell
magnetization: 0.0 μB per cell

***

No. 4
Computed, not measured: HfTi7Sb4 after structural relaxation at the GGA-PBE level of DFT.

a = 5.8508 Å, b = 5.8508 Å, c = 10.3974 Å
α = 116.38°, β = 116.38°, γ = 50.88°
Fractional coordinates of all 12 atoms:
Hf (0.0000, 0.0000, 0.0000)
Ti (0.0361, 0.0361, 0.3730)
Ti (0.2140, 0.2140, 0.9147)
Ti (0.3569, 0.3569, 0.4673)
Ti (0.5000, 0.5000, 0.0000)
Ti (0.6431, 0.6431, 0.5327)
Ti (0.7860, 0.7860, 0.0853)
Ti (0.9639, 0.9639, 0.6270)
Sb (0.2689, 0.2689, 0.6782)
Sb (0.3943, 0.3943, 0.2181)
Sb (0.6057, 0.6057, 0.7819)
Sb (0.7311, 0.7311, 0.3218)

Output
volume: 20.0 Å³/atom
ρ: 6.911 g/cm³
E_tot: -6.854 eV/atom
space group: C2/m (12)
uncorrected formation energy: -0.045 eV per atom
density of states at the Fermi level: 14.293 states/eV/cell
magnetization: 0.0 μB per cell

***

No. 5
Computed, not measured: IrRuIO2 after structural relaxation at the GGA-PBE level of DFT.

a = 3.7560 Å, b = 3.7560 Å, c = 8.1256 Å
α = 90.00°, β = 90.00°, γ = 90.00°
Fractional coordinates of all 5 atoms:
Ir (0.0000, 0.0000, 0.0000)
Ru (0.5000, 0.5000, 0.5000)
I (0.0000, 0.0000, 0.5000)
O (0.0000, 0.5000, 0.0000)
O (0.5000, 0.0000, 0.0000)

Output
volume: 22.9 Å³/atom
ρ: 6.550 g/cm³
E_tot: -5.624 eV/atom
space group: P4/mmm (123)
uncorrected formation energy: 0.296 eV per atom
density of states at the Fermi level: 6.048 states/eV/cell
magnetization: 2.2 μB per cell

***

No. 6
Computed, not measured: TiCuSb after structural relaxation at the GGA-PBE level of DFT.

a = 3.8414 Å, b = 3.8260 Å, c = 7.1683 Å
α = 90.00°, β = 91.79°, γ = 90.00°
Fractional coordinates of all 6 atoms:
Ti (0.2247, 0.2500, 0.1348)
Ti (0.7753, 0.7500, 0.8652)
Cu (0.2469, 0.7500, 0.4997)
Cu (0.7531, 0.2500, 0.5003)
Sb (0.2678, 0.2500, 0.7546)
Sb (0.7322, 0.7500, 0.2454)

Output
volume: 17.6 Å³/atom
ρ: 7.354 g/cm³
E_tot: -5.587 eV/atom
space group: P2_1/m (11)
uncorrected formation energy: -0.216 eV per atom
density of states at the Fermi level: 2.869 states/eV/cell
magnetization: 0.0 μB per cell

***

No. 7
Computed, not measured: InSn3Br after structural relaxation at the GGA-PBE level of DFT.

a = 5.6358 Å, b = 5.6358 Å, c = 5.6358 Å
α = 90.00°, β = 90.00°, γ = 90.00°
Fractional coordinates of all 5 atoms:
In (0.0000, 0.0000, 0.0000)
Sn (0.0000, 0.5000, 0.5000)
Sn (0.5000, 0.0000, 0.5000)
Sn (0.5000, 0.5000, 0.0000)
Br (0.5000, 0.5000, 0.5000)

Output
volume: 35.8 Å³/atom
ρ: 5.110 g/cm³
E_tot: -2.764 eV/atom
space group: Pm-3m (221)
uncorrected formation energy: 0.520 eV per atom
density of states at the Fermi level: 2.125 states/eV/cell
magnetization: 0.0 μB per cell

***

No. 8
Computed, not measured: AcTbCe2P4 after structural relaxation at the GGA-PBE level of DFT.

a = 7.2128 Å, b = 4.1660 Å, c = 7.2306 Å
α = 90.00°, β = 109.41°, γ = 90.00°
Fractional coordinates of all 8 atoms:
Ac (0.0000, 0.0000, 0.0000)
Tb (0.0000, 0.5000, 0.5000)
Ce (0.5000, 0.0000, 0.5000)
Ce (0.5000, 0.5000, 0.0000)
P (0.2560, 0.0000, 0.7408)
P (0.2652, 0.5000, 0.2671)
P (0.7348, 0.5000, 0.7329)
P (0.7440, 0.0000, 0.2592)

Output
formation enthalpy at 0 K: -1479 meV/atom
volume: 25.6 Å³/atom
ρ: 6.402 g/cm³
E_tot: -6.760 eV/atom
space group: P2/m (10)
density of states at the Fermi level: 9.210 states/eV/cell
magnetization: 1.1 μB per cell

***

No. 9
Computed, not measured: BeCu2Bi after structural relaxation at the GGA-PBE level of DFT.

a = 4.5232 Å, b = 4.5232 Å, c = 4.5232 Å
α = 60.00°, β = 60.00°, γ = 60.00°
Fractional coordinates of all 4 atoms:
Be (0.0000, 0.0000, 0.0000)
Cu (0.2500, 0.2500, 0.2500)
Cu (0.7500, 0.7500, 0.7500)
Bi (0.5000, 0.5000, 0.5000)

Output
formation enthalpy at 0 K: 546 meV/atom
volume: 16.4 Å³/atom
ρ: 8.757 g/cm³
E_tot: -3.404 eV/atom
space group: Fm-3m (225)
density of states at the Fermi level: 2.489 states/eV/cell
magnetization: 0.0 μB per cell

***

No. 10
Computed, not measured: Na3InF after structural relaxation at the GGA-PBE level of DFT.

a = 5.9163 Å, b = 5.9163 Å, c = 5.9163 Å
α = 90.00°, β = 90.00°, γ = 90.00°
Fractional coordinates of all 5 atoms:
Na (0.0000, 0.0000, 0.5000)
Na (0.0000, 0.5000, 0.0000)
Na (0.5000, 0.0000, 0.0000)
In (0.0000, 0.0000, 0.0000)
F (0.5000, 0.5000, 0.5000)

Output
volume: 41.4 Å³/atom
ρ: 1.626 g/cm³
E_tot: -1.911 eV/atom
space group: Pm-3m (221)
uncorrected formation energy: -0.198 eV per atom
density of states at the Fermi level: 3.687 states/eV/cell
magnetization: 0.0 μB per cell

***

No. 11
Computed, not measured: Na2LuPb after structural relaxation at the GGA-PBE level of DFT.

a = 12.5584 Å, b = 12.5584 Å, c = 12.5584 Å
α = 15.68°, β = 15.68°, γ = 15.68°
Fractional coordinates of all 4 atoms:
Na (0.0906, 0.0906, 0.0906)
Na (0.9094, 0.9094, 0.9094)
Lu (0.0000, 0.0000, 0.0000)
Pb (0.5000, 0.5000, 0.5000)

Output
formation enthalpy at 0 K: 175 meV/atom
volume: 31.5 Å³/atom
ρ: 5.643 g/cm³
E_tot: -2.542 eV/atom
space group: R-3m (166)
density of states at the Fermi level: 3.550 states/eV/cell
magnetization: 0.0 μB per cell

***

No. 12
Computed, not measured: SrCa2Cd2 after structural relaxation at the GGA-PBE level of DFT.

a = 7.0349 Å, b = 7.0349 Å, c = 7.0349 Å
α = 131.84°, β = 131.84°, γ = 70.48°
Fractional coordinates of all 5 atoms:
Sr (0.0000, 0.0000, 0.0000)
Ca (0.3482, 0.3482, 0.0000)
Ca (0.6518, 0.6518, 0.0000)
Cd (0.2500, 0.7500, 0.5000)
Cd (0.7500, 0.2500, 0.5000)

Output
formation enthalpy at 0 K: -60 meV/atom
volume: 37.9 Å³/atom
ρ: 3.443 g/cm³
E_tot: -1.563 eV/atom
space group: I4/mmm (139)
density of states at the Fermi level: 5.470 states/eV/cell
magnetization: 0.0 μB per cell